# 1
Material: DyAl3Zn3
Method: DFT, PBE
State: optimized geometry

Output
The calculation puts the energy of formation from the pure elements at 0.698 eV per atom. Its space group is Fm-3m.

Unit cell a=8.356 b=8.356 c=8.356 alpha=60.00 beta=60.00 gamma=60.00
Atoms (fractional coordinates):
Dy: 0.250 0.250 0.250
Dy: 0.750 0.750 0.750
Al: 0.156 0.156 0.844
Al: 0.156 0.844 0.156
Al: 0.156 0.844 0.844
Al: 0.844 0.156 0.156
Al: 0.844 0.156 0.844
Al: 0.844 0.844 0.156
Zn: 0.350 0.350 0.650
Zn: 0.350 0.650 0.350
Zn: 0.350 0.650 0.650
Zn: 0.650 0.350 0.350
Zn: 0.650 0.350 0.650
Zn: 0.650 0.650 0.350


# 2
Material: Dy12Al6Zn
Method: DFT, PBE
State: optimized geometry

Output
The calculation puts the energy of formation from the pure elements at 0.092 eV per atom. Its space group is R-3.

Unit cell a=8.605 b=8.605 c=8.605 alpha=101.24 beta=101.24 gamma=101.24
Atoms (fractional coordinates):
Dy: 0.048 0.678 0.945
Dy: 0.055 0.952 0.322
Dy: 0.177 0.419 0.557
Dy: 0.322 0.055 0.952
Dy: 0.419 0.557 0.177
Dy: 0.443 0.823 0.581
Dy: 0.557 0.177 0.419
Dy: 0.581 0.443 0.823
Dy: 0.678 0.945 0.048
Dy: 0.823 0.581 0.443
Dy: 0.945 0.048 0.678
Dy: 0.952 0.322 0.055
Al: 0.138 0.624 0.307
Al: 0.307 0.138 0.624
Al: 0.376 0.693 0.862
Al: 0.624 0.307 0.138
Al: 0.693 0.862 0.376
Al: 0.862 0.376 0.693
Zn: 0.000 0.000 0.000


# 3
Material: Dy4AlZn
Method: DFT, PBE
State: optimized geometry

Output
The calculation puts the energy of formation from the pure elements at 0.005 eV per atom. Its space group is P4/mmm.

Unit cell a=4.962 b=4.962 c=7.146 alpha=90.00 beta=90.00 gamma=90.00
Atoms (fractional coordinates):
Dy: 0.000 0.500 0.244
Dy: 0.000 0.500 0.756
Dy: 0.500 0.000 0.244
Dy: 0.500 0.000 0.756
Al: 0.000 0.000 0.500
Zn: 0.500 0.500 0.000


# 4
Material: Dy4Al3Zn
Method: DFT, PBE
State: optimized geometry

Output
The calculation puts the energy of formation from the pure elements at -0.389 eV per atom. Its space group is P4/mmm.

Unit cell a=3.587 b=3.587 c=14.417 alpha=90.00 beta=90.00 gamma=90.00
Atoms (fractional coordinates):
Dy: 0.000 0.000 0.121
Dy: 0.000 0.000 0.374
Dy: 0.000 0.000 0.626
Dy: 0.000 0.000 0.879
Al: 0.500 0.500 0.247
Al: 0.500 0.500 0.500
Al: 0.500 0.500 0.753
Zn: 0.500 0.500 0.000


# 5
Material: Dy6Al5Zn
Method: DFT, PBE
State: optimized geometry

Output
The calculation puts the energy of formation from the pure elements at -0.397 eV per atom. Its space group is Cmmm.

Unit cell a=8.065 b=8.065 c=7.151 alpha=90.00 beta=90.00 gamma=143.14
Atoms (fractional coordinates):
Dy: 0.000 0.000 0.247
Dy: 0.000 0.000 0.753
Dy: 0.335 0.665 0.248
Dy: 0.335 0.665 0.752
Dy: 0.665 0.335 0.248
Dy: 0.665 0.335 0.752
Al: 0.167 0.833 0.000
Al: 0.167 0.833 0.500
Al: 0.500 0.500 0.500
Al: 0.833 0.167 0.000
Al: 0.833 0.167 0.500
Zn: 0.500 0.500 0.000


# 6
Material: Dy4Al12Zn
Method: DFT, PBE
State: optimized geometry

Output
The calculation puts the energy of formation from the pure elements at -0.380 eV per atom. Its space group is Im-3m.

Unit cell a=7.528 b=7.528 c=7.528 alpha=109.47 beta=109.47 gamma=109.47
Atoms (fractional coordinates):
Dy: 0.000 0.000 0.500
Dy: 0.000 0.500 0.000
Dy: 0.500 0.000 0.000
Dy: 0.500 0.500 0.500
Al: 0.000 0.301 0.301
Al: 0.000 0.699 0.699
Al: 0.250 0.500 0.750
Al: 0.250 0.750 0.500
Al: 0.301 0.000 0.301
Al: 0.301 0.301 0.000
Al: 0.500 0.250 0.750
Al: 0.500 0.750 0.250
Al: 0.699 0.000 0.699
Al: 0.699 0.699 0.000
Al: 0.750 0.250 0.500
Al: 0.750 0.500 0.250
Zn: 0.000 0.000 0.000


# 7
Material: Dy4AlZn3
Method: DFT, PBE
State: optimized geometry

Output
The calculation puts the energy of formation from the pure elements at -0.356 eV per atom. Its space group is Pmmm.

Unit cell a=3.590 b=5.050 c=10.118 alpha=90.00 beta=90.00 gamma=90.00
Atoms (fractional coordinates):
Dy: 0.000 0.000 0.000
Dy: 0.000 0.000 0.500
Dy: 0.000 0.500 0.248
Dy: 0.000 0.500 0.752
Al: 0.500 0.500 0.500
Zn: 0.500 0.000 0.252
Zn: 0.500 0.000 0.748
Zn: 0.500 0.500 0.000


# 8
Material: DyAl2Zn
Method: DFT, PBE
State: optimized geometry

Output
The calculation puts the energy of formation from the pure elements at -0.367 eV per atom. Its space group is P4/mmm.

Unit cell a=4.249 b=4.249 c=4.266 alpha=90.00 beta=90.00 gamma=90.00
Atoms (fractional coordinates):
Dy: 0.000 0.000 0.000
Al: 0.000 0.500 0.500
Al: 0.500 0.000 0.500
Zn: 0.500 0.500 0.000


# 9
Material: Dy12Al3Zn
Method: DFT, PBE
State: optimized geometry

Output
The calculation puts the energy of formation from the pure elements at -0.146 eV per atom. Its space group is P4/mmm.

Unit cell a=4.753 b=4.753 c=18.995 alpha=90.00 beta=90.00 gamma=90.00
Atoms (fractional coordinates):
Dy: 0.000 0.000 0.000
Dy: 0.000 0.000 0.249
Dy: 0.000 0.000 0.500
Dy: 0.000 0.000 0.751
Dy: 0.000 0.500 0.125
Dy: 0.000 0.500 0.375
Dy: 0.000 0.500 0.625
Dy: 0.000 0.500 0.875
Dy: 0.500 0.000 0.125
Dy: 0.500 0.000 0.375
Dy: 0.500 0.000 0.625
Dy: 0.500 0.000 0.875
Al: 0.500 0.500 0.249
Al: 0.500 0.500 0.500
Al: 0.500 0.500 0.751
Zn: 0.500 0.500 0.000


# 10
Material: Dy3Al8Zn3
Method: DFT, PBE
State: optimized geometry

Output
The calculation puts the energy of formation from the pure elements at -0.360 eV per atom. Its space group is Immm.

Unit cell a=8.248 b=8.248 c=8.248 alpha=149.94 beta=104.95 gamma=82.91
Atoms (fractional coordinates):
Dy: 0.000 0.000 0.000
Dy: 0.314 0.314 0.000
Dy: 0.686 0.686 0.000
Al: 0.031 0.660 0.371
Al: 0.147 0.867 0.280
Al: 0.289 0.660 0.629
Al: 0.413 0.133 0.280
Al: 0.587 0.867 0.720
Al: 0.711 0.340 0.371
Al: 0.853 0.133 0.720
Al: 0.969 0.340 0.629
Zn: 0.294 0.500 0.794
Zn: 0.500 0.000 0.500
Zn: 0.706 0.500 0.206


# 11
Material: Dy6AlZn5
Method: DFT, PBE
State: optimized geometry

Output
The calculation puts the energy of formation from the pure elements at -0.352 eV per atom. Its space group is Cmmm.

Unit cell a=7.985 b=7.985 c=7.194 alpha=90.00 beta=90.00 gamma=143.23
Atoms (fractional coordinates):
Dy: 0.000 0.000 0.247
Dy: 0.000 0.000 0.753
Dy: 0.332 0.668 0.250
Dy: 0.332 0.668 0.750
Dy: 0.668 0.332 0.250
Dy: 0.668 0.332 0.750
Al: 0.500 0.500 0.500
Zn: 0.164 0.836 0.500
Zn: 0.166 0.834 0.000
Zn: 0.500 0.500 0.000
Zn: 0.834 0.166 0.000
Zn: 0.836 0.164 0.500


# 12
Material: DyAl2Zn
Method: DFT, PBE
State: optimized geometry

Output
The calculation puts the energy of formation from the pure elements at -0.212 eV per atom. Its space group is Cmmm.

Unit cell a=5.388 b=5.388 c=3.263 alpha=90.00 beta=90.00 gamma=119.35
Atoms (fractional coordinates):
Dy: 0.000 0.000 0.000
Al: 0.000 0.500 0.500
Al: 0.500 0.000 0.500
Zn: 0.500 0.500 0.500